No. 1
## KZnIn2Hg (GGA-PBE)

Data for a relaxed structure of KZnIn2Hg.

Values from the calculation:
Energy of formation from the pure elements, kcal/mol of atoms: 0.97
Fermi-level density of states, states/eV per cell: 2.52
Size of the total moment, μB/f.u.: 0.0

Lattice parameters (Å, degrees): 5.3654 5.3654 5.4368 90.00 90.00 90.00
Sites, in units of the cell vectors:
1 In 0.5000 0.0000 0.0000
2 In 0.0000 0.5000 0.0000
3 Hg 0.0000 0.0000 0.5000
4 K 0.5000 0.5000 0.5000
5 Zn 0.0000 0.0000 0.0000

=====

No. 2
## K2ZnIn4Hg3 (GGA-PBE)

Data for a relaxed structure of K2ZnIn4Hg3.

Values from the calculation:
Energy of formation from the pure elements, kcal/mol of atoms: -2.55
Fermi-level density of states, states/eV per cell: 3.13
Size of the total moment, μB/f.u.: 0.0

Lattice parameters (Å, degrees): 4.8162 4.8162 12.6352 90.00 90.00 90.00
Sites, in units of the cell vectors:
1 Zn 0.5000 0.5000 0.5000
2 In 0.5000 0.0000 0.6248
3 In 0.0000 0.0000 0.0000
4 In 0.5000 0.5000 0.0000
5 In 0.0000 0.5000 0.3752
6 K 0.5000 0.0000 0.2565
7 K 0.0000 0.5000 0.7435
8 Hg 0.0000 0.5000 0.1465
9 Hg 0.0000 0.0000 0.5000
10 Hg 0.5000 0.0000 0.8535

=====

No. 3
## KZnInHg2 (GGA-PBE)

Data for a relaxed structure of KZnInHg2.

Values from the calculation:
Energy of formation from the pure elements, kcal/mol of atoms: -0.87
Offset from the most stable computed form, meV/atom: 0
Fermi-level density of states, states/eV per cell: 1.32
Size of the total moment, μB/f.u.: 0.0

Lattice parameters (Å, degrees): 5.4164 5.4164 5.2951 90.00 90.00 90.00
Sites, in units of the cell vectors:
1 In 0.0000 0.0000 0.5000
2 Hg 0.0000 0.5000 0.0000
3 Hg 0.5000 0.0000 0.0000
4 Zn 0.0000 0.0000 0.0000
5 K 0.5000 0.5000 0.5000

=====

No. 4
## K2ZnInHg (GGA-PBE)

Data for a relaxed structure of K2ZnInHg.

Values from the calculation:
Energy of formation from the pure elements, kcal/mol of atoms: 1.16
Fermi-level density of states, states/eV per cell: 3.95
Size of the total moment, μB/f.u.: 0.0

Lattice parameters (Å, degrees): 6.5802 6.5802 4.9808 90.00 90.00 90.00
Sites, in units of the cell vectors:
1 Hg 0.5000 0.5000 0.5000
2 Zn 0.0000 0.0000 0.0000
3 K 0.5000 0.0000 0.0000
4 K 0.0000 0.5000 0.0000
5 In 0.0000 0.0000 0.5000

=====

No. 5
## KZnInHg (GGA-PBE)

Data for a relaxed structure of KZnInHg.

Values from the calculation:
Energy of formation from the pure elements, kcal/mol of atoms: 0.07
Fermi-level density of states, states/eV per cell: 1.79
Size of the total moment, μB/f.u.: 0.0

Lattice parameters (Å, degrees): 5.3727 5.3727 5.3727 60.00 60.00 60.00
Sites, in units of the cell vectors:
1 K 0.7500 0.7500 0.7500
2 Hg 0.5000 0.5000 0.5000
3 Zn 0.0000 0.0000 0.0000
4 In 0.2500 0.2500 0.2500

=====

No. 6
## KZnInHg2 (GGA-PBE)

Data for a relaxed structure of KZnInHg2.

Values from the calculation:
Energy of formation from the pure elements, kcal/mol of atoms: 0.71
Offset from the most stable computed form, meV/atom: 68
Fermi-level density of states, states/eV per cell: 2.54
Size of the total moment, μB/f.u.: 0.0

Lattice parameters (Å, degrees): 5.7096 5.7096 5.3758 90.00 90.00 90.00
Sites, in units of the cell vectors:
1 Hg 0.0000 0.5000 0.0000
2 Hg 0.5000 0.0000 0.0000
3 In 0.0000 0.0000 0.0000
4 Zn 0.0000 0.0000 0.5000
5 K 0.5000 0.5000 0.5000

=====

No. 7
## LaIn3Hg3 (GGA-PBE)

Data for a relaxed structure of LaIn3Hg3.

Values from the calculation:
Energy of formation from the pure elements, kcal/mol of atoms: 4.71
Offset from the most stable computed form, meV/atom: 403
Fermi-level density of states, states/eV per cell: 12.01
Size of the total moment, μB/f.u.: 0.2

Lattice parameters (Å, degrees): 7.8191 7.8191 7.8191 90.00 90.00 90.00
Each line ends with the local moment (μB).
Sites, in units of the cell vectors:
1 Hg 0.0000 0.5000 0.7500  0.00
2 Hg 0.0000 0.5000 0.2500  0.00
3 Hg 0.5000 0.2500 0.0000  0.00
4 Hg 0.5000 0.7500 0.0000  0.00
5 Hg 0.7500 0.0000 0.5000  0.00
6 Hg 0.2500 0.0000 0.5000  0.00
7 In 0.7500 0.5000 0.0000  0.00
8 In 0.0000 0.7500 0.5000  0.00
9 In 0.2500 0.5000 0.0000  0.00
10 In 0.5000 0.0000 0.7500  0.00
11 In 0.0000 0.2500 0.5000  0.00
12 In 0.5000 0.0000 0.2500  0.00
13 La 0.0000 0.0000 0.0000  0.19
14 La 0.5000 0.5000 0.5000  0.19

=====

No. 8
## LaIn2Hg (GGA-PBE)

Data for a relaxed structure of LaIn2Hg.

Values from the calculation:
Energy of formation from the pure elements, kcal/mol of atoms: -7.37
Fermi-level density of states, states/eV per cell: 1.97
Size of the total moment, μB/f.u.: 0.0

Lattice parameters (Å, degrees): 5.7293 5.7293 4.7069 72.78 72.78 50.21
Sites, in units of the cell vectors:
1 La 0.7500 0.7500 0.7500
2 In 0.0084 0.0084 0.0180
3 In 0.4916 0.4916 0.4820
4 Hg 0.2500 0.2500 0.2500

=====

No. 9
## LaInHg (GGA-PBE)

Data for a relaxed structure of LaInHg.

Values from the calculation:
Energy of formation from the pure elements, kcal/mol of atoms: -2.60
Fermi-level density of states, states/eV per cell: 2.04
Size of the total moment, μB/f.u.: 0.0

Lattice parameters (Å, degrees): 5.2453 5.2453 5.2453 60.00 60.00 60.00
Sites, in units of the cell vectors:
1 Hg 0.7500 0.7500 0.7500
2 In 0.2500 0.2500 0.2500
3 La 0.5000 0.5000 0.5000

=====

No. 10
## La2In8Hg (GGA-PBE)

Data for a relaxed structure of La2In8Hg.

Values from the calculation:
Energy of formation from the pure elements, kcal/mol of atoms: -7.34
Fermi-level density of states, states/eV per cell: 3.11
Size of the total moment, μB/f.u.: 0.0

Lattice parameters (Å, degrees): 4.8965 4.8965 12.6842 90.00 90.00 90.00
Sites, in units of the cell vectors:
1 In 0.5000 0.5000 0.6837
2 In 0.5000 0.0000 0.1351
3 In 0.0000 0.5000 0.5000
4 In 0.5000 0.0000 0.5000
5 In 0.0000 0.5000 0.8649
6 In 0.0000 0.5000 0.1351
7 In 0.5000 0.0000 0.8649
8 In 0.5000 0.5000 0.3163
9 La 0.0000 0.0000 0.3142
10 La 0.0000 0.0000 0.6858
11 Hg 0.0000 0.0000 0.0000

=====

No. 11
## La3In2Hg4 (GGA-PBE)

Data for a relaxed structure of La3In2Hg4.

Values from the calculation:
Energy of formation from the pure elements, kcal/mol of atoms: -11.88
Fermi-level density of states, states/eV per cell: 5.30
Size of the total moment, μB/f.u.: 0.0

Lattice parameters (Å, degrees): 5.0373 6.3026 9.5649 114.04 90.00 113.55
Sites, in units of the cell vectors:
1 In 0.6121 0.2241 0.2780
2 In 0.3879 0.7759 0.7220
3 Hg 0.9158 0.8316 0.5815
4 Hg 0.6950 0.3900 0.0273
5 Hg 0.3050 0.6100 0.9727
6 Hg 0.0842 0.1684 0.4185
7 La 0.3355 0.6710 0.3285
8 La 0.6645 0.3290 0.6715
9 La 0.0000 0.0000 0.0000

=====

No. 12
## La2In3Hg2 (GGA-PBE)

Data for a relaxed structure of La2In3Hg2.

Values from the calculation:
Energy of formation from the pure elements, kcal/mol of atoms: -9.74
Offset from the most stable computed form, meV/atom: 17
Fermi-level density of states, states/eV per cell: 4.98
Size of the total moment, μB/f.u.: 0.0

Lattice parameters (Å, degrees): 4.7224 6.2412 7.2534 98.15 90.00 112.23
Sites, in units of the cell vectors:
1 In 0.0000 0.0000 0.0000
2 In 0.2971 0.5941 0.1325
3 In 0.7029 0.4059 0.8675
4 Hg 0.8925 0.7850 0.3580
5 Hg 0.1075 0.2150 0.6420
6 La 0.6113 0.2226 0.3205
7 La 0.3887 0.7774 0.6795